An optimized crystal structure of PmAl5Ag7. Source: Alexandria via LeMat-Bulk, functional GGA-PBE.

Cell and atoms, written as CIF:
```
data_PmAl5Ag7
_cell_length_a 5.4278
_cell_length_b 9.3664
_cell_length_c 9.2595
_cell_angle_alpha 90.00
_cell_angle_beta 90.00
_cell_angle_gamma 90.00
_symmetry_space_group_name_H-M 'I m m 2'
_symmetry_Int_Tables_number 44
loop_
_symmetry_equiv_pos_as_xyz
'x,y,z'
'-x,-y,z'
'-x,y,z'
'x,-y,z'
'x+1/2,y+1/2,z+1/2'
'-x+1/2,-y+1/2,z+1/2'
'-x+1/2,y+1/2,z+1/2'
'x+1/2,-y+1/2,z+1/2'
loop_
_atom_site_label
_atom_site_fract_x
_atom_site_fract_y
_atom_site_fract_z
_atom_site_occupancy
Pm1 0.0000 0.0000 0.0000 1
Al1 0.0000 0.5000 0.2756 1
Al2 0.2483 0.2540 0.7479 1
Ag1 0.0000 0.0000 0.3470 1
Ag2 0.0000 0.0000 0.6632 1
Ag3 0.0000 0.2924 0.4935 1
Ag4 0.0000 0.3452 0.0053 1
Ag5 0.0000 0.5000 0.7218 1
```

Results
E, eV for the cell shown: -92.26
Crystal system: orthorhombic
E_form, meV per atom: -208


An optimized crystal structure of MgGe5. Source: Alexandria via LeMat-Bulk, functional GGA-PBE.

Cell and atoms, written as CIF:
```
data_MgGe5
_cell_length_a 5.0825
_cell_length_b 5.0825
_cell_length_c 5.1864
_cell_angle_alpha 90.00
_cell_angle_beta 90.00
_cell_angle_gamma 120.00
_symmetry_space_group_name_H-M 'P -6 2 m'
_symmetry_Int_Tables_number 189
_symmetry_space_group_name_Hall 'P -6 -2'
loop_
_atom_site_label
_atom_site_fract_x
_atom_site_fract_y
_atom_site_fract_z
_atom_site_occupancy
Mg1 0.0000 0.0000 0.0000 1
Ge1 0.0000 0.6671 0.5000 1
Ge2 0.3333 0.6667 0.0000 1
```

Results
E, eV for the cell shown: -23.51
Crystal system: hexagonal
Energy above the lowest structure with this stoichiometry, meV per atom: 59
E_form, meV per atom: 196


An optimized crystal structure of LaGdAgBi. Source: Alexandria via LeMat-Bulk, functional GGA-PBE.

Cell and atoms, written as CIF:
```
data_LaGdAgBi
_cell_length_a 7.7456
_cell_length_b 7.7456
_cell_length_c 7.7456
_cell_angle_alpha 90.00
_cell_angle_beta 90.00
_cell_angle_gamma 90.00
_symmetry_space_group_name_H-M 'F -4 3 m'
_symmetry_Int_Tables_number 216
_symmetry_space_group_name_Hall 'F -4 2 3'
loop_
_atom_site_label
_atom_site_fract_x
_atom_site_fract_y
_atom_site_fract_z
_atom_site_occupancy
La1 0.0000 0.0000 0.0000 1
Gd1 0.0000 0.0000 0.5000 1
Ag1 0.2500 0.2500 0.7500 1
Bi1 0.2500 0.2500 0.2500 1
```

Results
E, eV for the cell shown: -111.17
Crystal system: cubic
E_form, meV per atom: -513


Question: What is the E in the second record?
Answer: -23.51 eV for the cell shown